A plane-wave DFT calculation with SCAN was carried out for a PBEsol-optimized structure of TaBePt2.

a b c (Å): 2.7930 2.7930 6.9278
angles (deg): 90.00 90.00 90.00
Last column: nearest neighbours and their distance in Å.
Space group P4/mmm (No. 123)
Unique sites:
Ta: 0.0000 0.0000 0.0000  4 Ta 2.79, 8 Pt 2.82
Be: 0.0000 0.0000 0.5000  8 Pt 2.45
Pt: 0.5000 0.5000 0.2914  4 Be 2.45

The total energy is -53.75 eV/atom. For the magnetic moment, the calculation gives 0.00 μB per cell. The value obtained for the formation energy is -0.916 eV per atom.